A:
## InAs2SeF (PBE)

Data for crystalline InAs2SeF at its relaxed geometry.

Geometry as extended XYZ:
```
5
Lattice="-0.787 3.416 3.998 -0.071 -4.049 3.445 5.160 0.448 0.633" Properties=species:S:1:pos:R:3 pbc="T T T"
As -0.036 -2.024 1.723
As -0.393 1.708 1.999
F 2.151 -0.093 4.038
Se 2.580 0.224 0.316
In 0.000 0.000 0.000
```

The density is 4083 kg/m3. For the magnetization, the calculation gives 0.333 Bohr magnetons per cell.


B:
## InAs2SeF (PBE)

Data for crystalline InAs2SeF at its relaxed geometry.

Geometry as extended XYZ:
```
5
Lattice="4.408 0.000 0.000 0.000 4.408 0.000 0.000 0.000 5.623" Properties=species:S:1:pos:R:3 pbc="T T T"
As 0.000 2.204 0.000
As 2.204 0.000 0.000
F 0.000 0.000 0.000
Se 0.000 0.000 2.812
In 2.204 2.204 2.812
```

The density is 5512 kg/m3. For the magnetization, the calculation gives 0.000 Bohr magnetons per cell.


B comes first in stability; the runner-up is 49.4 kJ/mol of atoms higher.